Computed, not measured: Ca2Hg2As after structural relaxation at the GGA-PBE level of DFT. Values from VASP.

Results
crystal system	tetragonal
DOS at the Fermi energy	3.34	states/eV/cell
size of the total moment	0.0	μB per formula unit
energy relative to the elements	-476	meV per atom
final energy	-23.3	eV per cell

Structure (Quantum ESPRESSO input):
```
&SYSTEM
  ibrav = 0, nat = 10, ntyp = 3
/
ATOMIC_SPECIES
Ca 40.08 Ca.upf
As 74.92 As.upf
Hg 200.59 Hg.upf
CELL_PARAMETERS angstrom
-0.0941 7.0006 3.4344
-3.4621 3.0400 -6.2916
-3.9356 -0.9016 1.7300
ATOMIC_POSITIONS angstrom
Ca -4.3252 2.8378 -2.7841
Ca -3.1665 6.3013 1.6568
Ca -4.8837 6.7872 -1.9963
Ca -2.6081 2.3519 0.8690
As -1.7781 5.0203 -1.4286
As 0.0000 0.0000 0.0000
Hg -2.2640 8.0046 -0.9787
Hg -0.5104 4.8086 1.3449
Hg -1.2922 2.0361 -1.8786
Hg -3.0458 5.2321 -4.2021
```